(1)
VASP calculation (GGA-PBE) on an optimized crystal structure of Nd2Er6Tm.

Cell and atoms, written as POSCAR:
```
Nd2Er6Tm
1.0
5.026 0.000 0.219
0.000 10.608 0.000
-0.462 0.000 10.598
Er Nd Tm
12 4 2
direct
0.000 0.333 0.167 Er
0.500 0.834 0.001 Er
0.500 0.499 0.666 Er
0.500 0.833 0.333 Er
0.000 0.001 0.166 Er
0.000 0.334 0.499 Er
0.500 0.166 0.999 Er
0.000 0.666 0.501 Er
0.500 0.501 0.334 Er
0.500 0.167 0.667 Er
0.000 0.667 0.833 Er
0.000 0.999 0.834 Er
0.000 0.666 0.166 Nd
0.500 0.166 0.334 Nd
0.000 0.334 0.834 Nd
0.500 0.834 0.666 Nd
0.500 0.500 0.000 Tm
0.000 0.000 0.500 Tm
```

## Properties
ΔE to the lowest computed polymorph: 0 meV per atom
Uncorrected energy: -4.574 eV/atom
DOS(E_F): 11.66 states/eV/f.u.
Calculated density: 8.571 g cm⁻³
Formation energy: 24 meV/atom

---

(2)
VASP calculation (GGA-PBE) on an optimized crystal structure of NdEr9Tm2.

Cell and atoms, written as POSCAR:
```
NdEr9Tm2
1.0
-0.070 -1.351 4.787
-0.097 -4.786 -1.352
14.923 -0.336 0.123
Er Tm Nd
9 2 1
direct
0.000 0.500 0.170 Er
0.500 0.000 0.830 Er
0.500 0.500 0.335 Er
0.000 0.500 0.830 Er
0.500 0.500 0.665 Er
0.500 0.000 0.500 Er
0.500 0.500 0.000 Er
0.000 0.500 0.500 Er
0.500 0.000 0.170 Er
0.000 0.000 0.335 Tm
0.000 0.000 0.665 Tm
0.000 0.000 0.000 Nd
```

## Properties
ΔE to the lowest computed polymorph: 0 meV per atom
Uncorrected energy: -4.539 eV/atom
DOS(E_F): 17.42 states/eV/f.u.
Calculated density: 8.934 g cm⁻³
Formation energy: 26 meV/atom

---

(3)
VASP calculation (GGA-PBE) on an optimized crystal structure of NdEr8Tm4.

Cell and atoms, written as POSCAR:
```
NdEr8Tm4
1.0
-2.342 -2.241 6.440
6.651 -1.696 -2.208
2.496 9.540 0.191
Er Tm Nd
8 4 1
direct
0.946 0.751 0.697 Er
0.054 0.249 0.303 Er
0.563 0.782 0.345 Er
0.498 0.249 0.303 Er
0.437 0.218 0.655 Er
0.502 0.751 0.697 Er
0.946 0.195 0.697 Er
0.054 0.805 0.303 Er
0.000 0.000 0.000 Tm
0.500 0.500 0.000 Tm
0.500 0.000 0.000 Tm
0.000 0.500 0.000 Tm
0.000 0.500 0.500 Nd
```

## Properties
Uncorrected energy: -4.339 eV/atom
DOS(E_F): 15.45 states/eV/f.u.
Calculated density: 8.903 g cm⁻³
Formation energy: 211 meV/atom

---

(4)
VASP calculation (GGA-PBE) on an optimized crystal structure of Nd2Er5Tm4.

Cell and atoms, written as POSCAR:
```
Nd2Er5Tm4
1.0
-1.967 -1.790 -2.204
8.931 -1.245 -6.959
-1.229 -6.223 8.857
Er Nd Tm
5 2 4
direct
0.178 0.888 0.355 Er
0.178 0.467 0.355 Er
0.500 0.000 0.000 Er
0.822 0.533 0.645 Er
0.822 0.112 0.645 Er
0.204 0.204 0.409 Nd
0.796 0.796 0.591 Nd
0.000 0.277 0.000 Tm
0.590 0.590 0.180 Tm
0.410 0.410 0.820 Tm
0.000 0.723 0.000 Tm
```

## Properties
ΔE to the lowest computed polymorph: 185 meV per atom
Uncorrected energy: -4.358 eV/atom
DOS(E_F): 13.84 states/eV/f.u.
Calculated density: 8.328 g cm⁻³
Formation energy: 209 meV/atom